(1)
# PmHoInAg

Crystalline PmHoInAg at its relaxed geometry (PBE, Alexandria via LeMat-Bulk).

abc: 7.510 7.510 7.510
angles: 90.00 90.00 90.00
Sites, in units of the cell vectors:
Pm: 0.000 0.000 0.000
Pm: 0.000 0.500 0.500
Pm: 0.500 0.000 0.500
Pm: 0.500 0.500 0.000
Ho: 0.000 0.000 0.500
Ho: 0.000 0.500 0.000
Ho: 0.500 0.000 0.000
Ho: 0.500 0.500 0.500
In: 0.250 0.250 0.750
In: 0.250 0.750 0.250
In: 0.750 0.250 0.250
In: 0.750 0.750 0.750
Ag: 0.250 0.250 0.250
Ag: 0.250 0.750 0.750
Ag: 0.750 0.250 0.750
Ag: 0.750 0.750 0.250

Summary:
symmetry: F-43m (216)
formation energy: -0.382 eV/atom
D(E_F): 3.8 states/eV/f.u.

---

(2)
# Pr2HoIn2Ag2

Crystalline Pr2HoIn2Ag2 at its relaxed geometry (PBE, Alexandria via LeMat-Bulk).

abc: 9.592 9.592 9.592
angles: 29.41 29.41 29.41
Sites, in units of the cell vectors:
Pr: 0.125 0.125 0.125
Pr: 0.875 0.875 0.875
Ho: 0.000 0.000 0.000
In: 0.266 0.266 0.266
In: 0.734 0.734 0.734
Ag: 0.389 0.389 0.389
Ag: 0.611 0.611 0.611

Summary:
symmetry: R-3m (166)
formation energy: -0.299 eV/atom
D(E_F): 6.1 states/eV/f.u.

---

(3)
# PrHoInAg

Crystalline PrHoInAg at its relaxed geometry (PBE, Alexandria via LeMat-Bulk).

abc: 3.675 3.675 7.902
angles: 90.00 90.00 90.00
Sites, in units of the cell vectors:
Pr: 0.000 0.000 0.000
Ho: 0.000 0.000 0.525
In: 0.500 0.500 0.273
Ag: 0.500 0.500 0.731

Summary:
symmetry: P4mm (99)
formation energy: -0.392 eV/atom
D(E_F): 3.3 states/eV/f.u.

---

(4)
# PrHoInAg

Crystalline PrHoInAg at its relaxed geometry (PBE, Alexandria via LeMat-Bulk).

abc: 7.566 7.566 7.566
angles: 90.00 90.00 90.00
Sites, in units of the cell vectors:
Pr: 0.000 0.000 0.000
Pr: 0.000 0.500 0.500
Pr: 0.500 0.000 0.500
Pr: 0.500 0.500 0.000
Ho: 0.000 0.000 0.500
Ho: 0.000 0.500 0.000
Ho: 0.500 0.000 0.000
Ho: 0.500 0.500 0.500
In: 0.250 0.250 0.250
In: 0.250 0.750 0.750
In: 0.750 0.250 0.750
In: 0.750 0.750 0.250
Ag: 0.250 0.250 0.750
Ag: 0.250 0.750 0.250
Ag: 0.750 0.250 0.250
Ag: 0.750 0.750 0.750

Summary:
symmetry: F-43m (216)
formation energy: -0.369 eV/atom
D(E_F): 3.8 states/eV/f.u.

---

Q: Look up the formation energy of the fourth one.
A: -0.369 eV/atom

---

Q: The lowest D(E_F) belongs to which entry?
A: number 3

---

Q: What is the formula in the second record?
A: Pr2HoIn2Ag2

---

Q: Number 3 is which compound?
A: PrHoInAg